(1)
VASP calculation (GGA-PBE) on a geometry-optimized RbSbPb2 structure. Values from VASP.

Quantum ESPRESSO input file:
```
&SYSTEM
  ibrav = 0, nat = 8, ntyp = 3
/
ATOMIC_SPECIES
Rb 85.47 Rb.upf
Sb 121.76 Sb.upf
Pb 207.20 Pb.upf
CELL_PARAMETERS angstrom
-4.6477 4.6477 3.5864
4.6477 -4.6477 3.5864
4.6477 4.6477 -3.5864
ATOMIC_POSITIONS crystal
Rb 0.0000 0.0000 0.0000
Rb 0.7500 0.2500 0.5000
Sb 0.2500 0.7500 0.5000
Sb 0.5000 0.5000 0.0000
Pb 0.1819 0.6250 0.0569
Pb 0.3750 0.4319 0.5569
Pb 0.5681 0.1250 0.9431
Pb 0.8750 0.8181 0.4431
```

Output
- Total moment: 0.0 μB per formula unit
- Formation energy from raw total energies: -0.082 eV/atom

(2)
VASP calculation (GGA-PBE) on a geometry-optimized LuPuCuIr structure. Values from VASP.

Quantum ESPRESSO input file:
```
&SYSTEM
  ibrav = 0, nat = 4, ntyp = 4
/
ATOMIC_SPECIES
Lu 174.97 Lu.upf
Pu 244.00 Pu.upf
Cu 63.55 Cu.upf
Ir 192.22 Ir.upf
CELL_PARAMETERS angstrom
0.0000 3.4151 3.4151
3.4151 0.0000 3.4151
3.4151 3.4151 0.0000
ATOMIC_POSITIONS crystal
Lu 0.0000 0.0000 0.0000
Pu 0.5000 0.5000 0.5000
Cu 0.7500 0.7500 0.7500
Ir 0.2500 0.2500 0.2500
```

Output
- DFT formation energy: -0.414 eV/atom
- Total moment: 5.4 μB per formula unit

(3)
VASP calculation (GGA-PBE) on a geometry-optimized Ir3AuO structure. Values from VASP.

Quantum ESPRESSO input file:
```
&SYSTEM
  ibrav = 0, nat = 5, ntyp = 3
/
ATOMIC_SPECIES
Ir 192.22 Ir.upf
Au 196.97 Au.upf
O 16.00 O.upf
CELL_PARAMETERS angstrom
4.1758 0.0000 0.0000
0.0000 4.1758 0.0000
0.0000 0.0000 4.1758
ATOMIC_POSITIONS crystal
Ir 0.0000 0.0000 0.5000
Ir 0.0000 0.5000 0.0000
Ir 0.5000 0.0000 0.0000
Au 0.5000 0.5000 0.5000
O 0.0000 0.0000 0.0000
```

Output
- Total moment: 0.0 μB per formula unit
- Formation energy from raw total energies: 0.866 eV/atom
- Polymorph energy (0 for the lowest one): 0.000 eV per atom

(4)
VASP calculation (GGA-PBE) on a geometry-optimized Y2AlIrC structure. Values from VASP.

Quantum ESPRESSO input file:
```
&SYSTEM
  ibrav = 0, nat = 5, ntyp = 4
/
ATOMIC_SPECIES
Y 88.91 Y.upf
Al 26.98 Al.upf
Ir 192.22 Ir.upf
C 12.01 C.upf
CELL_PARAMETERS angstrom
4.9789 0.0000 0.0000
0.0000 4.9789 0.0000
0.0000 0.0000 3.9256
ATOMIC_POSITIONS crystal
Y 0.0000 0.5000 0.0000
Y 0.5000 0.0000 0.0000
Al 0.0000 0.0000 0.5000
Ir 0.5000 0.5000 0.5000
C 0.5000 0.5000 0.0000
```

Output
- DFT formation energy: -0.459 eV/atom
- Total moment: 0.0 μB per formula unit

Volume, record by record: 38.73; 19.91; 14.56; 19.46 A^3/atom